# 1
Below is a relaxed structure of BaFeH2Pb, with properties calculated at the GGA-PBE level.

Summary:
Space group   P4/mmm (123)
V   21.31 Å³ per atom
Density of states at the Fermi level   6.4 states/eV/f.u.
Calculated total energy   -0.136 Ha/atom

Structure (extended XYZ):
```
5
Lattice="4.5861 0.0000 0.0000 0.0000 4.5861 0.0000 0.0000 0.0000 5.0660" Properties=species:S:1:pos:R:3 pbc="T T T"
Ba 0.0000 0.0000 0.0000
Fe 2.2930 2.2930 2.5330
H 0.0000 2.2930 2.5330
H 2.2930 0.0000 2.5330
Pb 2.2930 2.2930 0.0000
```

***

# 2
Below is a relaxed structure of HgBiI, with properties calculated at the GGA-PBE level.

Summary:
Space group   C2/m (12)
Energy relative to the elements, uncorrected   -0.055 eV per atom
Energy above the most stable polymorph in this dataset   10.89 kJ/mol of atoms
V   39.08 Å³ per atom
Density of states at the Fermi level   0.8 states/eV/f.u.

Structure (extended XYZ):
```
6
Lattice="7.4008 -1.9148 0.0000 7.4008 1.9148 0.0000 -0.8529 0.0000 8.2724" Properties=species:S:1:pos:R:3 pbc="T T T"
Hg 1.4538 0.0000 2.8644
Hg 12.4948 0.0000 5.4080
Bi 1.4959 0.0000 0.0288
Bi 12.4528 0.0000 8.2436
I 5.0845 0.0000 3.0755
I 8.8642 0.0000 5.1969
```

***

# 3
Below is a relaxed structure of LiCeS2O8, with properties calculated at the GGA-PBE level.

Summary:
Space group   P-3m1 (164)
Energy relative to the elements, uncorrected   -1.921 eV per atom
V   14.63 Å³ per atom
Density of states at the Fermi level   8.1 states/eV/f.u.

Structure (extended XYZ):
```
12
Lattice="5.4692 0.0000 0.0000 -2.7346 4.7364 0.0000 0.0000 0.0000 6.7756" Properties=species:S:1:pos:R:3 pbc="T T T"
Li 0.0000 0.0000 0.0000
Ce 0.0000 0.0000 3.3878
S 0.0000 3.1576 5.5266
S 2.7346 1.5788 1.2490
O 0.0000 1.7533 4.9756
O -1.2161 3.8598 4.9756
O 0.0000 3.1576 0.1927
O 1.5184 0.8767 1.8000
O 1.2161 3.8598 4.9756
O 2.7346 1.5788 6.5829
O 3.9507 0.8767 1.8000
O 2.7346 2.9831 1.8000
```

***

# 4
Below is a relaxed structure of SrAsP2, with properties calculated at the GGA-PBE level.

Summary:
Space group   Cm (8)
Energy relative to the elements   -0.38 eV per atom
V   21.90 Å³ per atom
Density of states at the Fermi level   0.9 states/eV/f.u.

Structure (extended XYZ):
```
4
Lattice="4.9807 -1.7826 0.0000 4.9807 1.7826 0.0000 -2.0205 0.0000 4.9327" Properties=species:S:1:pos:R:3 pbc="T T T"
Sr 0.0000 0.0000 0.0000
As 7.1450 0.0000 1.9070
P 0.7615 0.0000 3.0327
P 4.0742 0.0000 2.4938
```

***

# 5
Below is a relaxed structure of NbZn4Pt5, with properties calculated at the GGA-PBE level.

Summary:
Space group   P4/mmm (123)
Energy relative to the elements   -0.59 eV per atom
V   15.03 Å³ per atom
Density of states at the Fermi level   4.1 states/eV/f.u.

Structure (extended XYZ):
```
10
Lattice="2.8827 0.0000 0.0000 0.0000 2.8827 0.0000 0.0000 0.0000 18.0907" Properties=species:S:1:pos:R:3 pbc="T T T"
Nb 0.0000 0.0000 0.0000
Zn 0.0000 0.0000 3.7793
Zn 0.0000 0.0000 7.2861
Zn 0.0000 0.0000 10.8046
Zn 0.0000 0.0000 14.3114
Pt 1.4414 1.4414 1.9640
Pt 1.4414 1.4414 5.5212
Pt 1.4414 1.4414 9.0454
Pt 1.4414 1.4414 12.5695
Pt 1.4414 1.4414 16.1267
```

***

# 6
Below is a relaxed structure of Ta3Nb8Pt, with properties calculated at the GGA-PBE level.

Summary:
Space group   P-3m1 (164)
Energy relative to the elements   -0.01 eV per atom
V   18.64 Å³ per atom
Density of states at the Fermi level   11.3 states/eV/f.u.

Structure (extended XYZ):
```
12
Lattice="5.3979 0.0000 0.0000 -2.6989 4.6747 0.0000 0.0000 0.0000 8.8631" Properties=species:S:1:pos:R:3 pbc="T T T"
Ta 0.0000 0.0000 0.0000
Ta 0.0000 3.1165 0.5252
Ta 2.6989 1.5582 8.3380
Nb 0.0000 1.5958 6.6419
Nb -1.3169 3.8768 6.6419
Nb 0.0000 3.1165 3.9529
Nb 1.3820 0.7979 2.2212
Nb 1.3169 3.8768 6.6419
Nb 2.6989 1.5582 4.9102
Nb 4.0158 0.7979 2.2212
Nb 2.6989 3.0789 2.2212
Pt 0.0000 0.0000 4.4316
```

***

# 7
Below is a relaxed structure of Na3Cd3Au, with properties calculated at the GGA-PBE level.

Summary:
Space group   Cmcm (63)
Energy relative to the elements   -0.15 eV per atom
V   25.71 Å³ per atom
Density of states at the Fermi level   2.3 states/eV/f.u.

Structure (extended XYZ):
```
14
Lattice="1.6740 -6.3687 0.0000 1.6740 6.3687 0.0000 0.0000 0.0000 16.8787" Properties=species:S:1:pos:R:3 pbc="T T T"
Na 1.6740 6.3501 12.6590
Na 1.6740 2.0738 1.5439
Na 1.6740 2.0738 6.8955
Na 1.6740 -2.0738 9.9832
Na 1.6740 -2.0738 15.3348
Na 1.6740 -6.3501 4.2197
Cd 1.6740 3.0827 12.6590
Cd 1.6740 1.4279 10.2293
Cd 1.6740 1.4279 15.0887
Cd 1.6740 -1.4279 1.7900
Cd 1.6740 -1.4279 6.6493
Cd 1.6740 -3.0827 4.2197
Au 0.0000 0.0000 0.0000
Au 0.0000 0.0000 8.4393
```

***

# 8
Below is a relaxed structure of ReMo2H, with properties calculated at the GGA-PBE level.

Summary:
Space group   I-42d (122)
Energy above the most stable polymorph in this dataset   31.18 kJ/mol of atoms
V   12.81 Å³ per atom
Density of states at the Fermi level   3.2 states/eV/f.u.

Structure (extended XYZ):
```
8
Lattice="-2.9719 2.9719 2.9011 2.9719 -2.9719 2.9011 2.9719 2.9719 -2.9011" Properties=species:S:1:pos:R:3 pbc="T T T"
Re 0.0000 0.0000 0.0000
Re 0.0000 2.9719 1.4505
Mo 1.4859 -0.9283 2.1758
Mo 2.0436 1.4859 0.7253
Mo 1.4859 3.9002 -0.7253
Mo 0.9283 1.4859 3.6263
H 2.9719 0.0000 1.4505
H 0.0000 0.0000 2.9011
```